(1)
The following is a PBEsol calculation of SrFeOs3 after structural relaxation, from Alexandria.

CIF file:
```
data_SrFeOs3
_chemical_formula_sum 'Sr1 Fe1 Os3'
_space_group_name_H-M_alt 'P m -3 m'
_space_group_IT_number 221
_space_group_name_Hall '-P 4 2 3'
_cell_length_a 4.705
_cell_length_b 4.705
_cell_length_c 4.705
_cell_angle_alpha 90.00
_cell_angle_beta 90.00
_cell_angle_gamma 90.00
loop_
_atom_site_label
_atom_site_type_symbol
_atom_site_fract_x
_atom_site_fract_y
_atom_site_fract_z
Sr1 Sr 0.000 0.000 0.000
Fe1 Fe 0.500 0.500 0.500
Os1 Os 0.000 0.000 0.500
```

Computed properties:
Energy of formation from the pure elements in eV per atom: 3.937
ρ in g/cm³: 11.4
Total magnetic moment in μB per formula unit: 5.183
DOS(E_F) in states/eV per cell: 6.57

(2)
The following is a PBEsol calculation of CaY2 after structural relaxation, from Alexandria.

CIF file:
```
data_CaY2
_chemical_formula_sum 'Ca1 Y2'
_space_group_name_H-M_alt 'P -3 m 1'
_space_group_IT_number 164
_space_group_name_Hall '-P 3 2"'
_cell_length_a 3.5817
_cell_length_b 3.5817
_cell_length_c 8.9429
_cell_angle_alpha 90.00
_cell_angle_beta 90.00
_cell_angle_gamma 120.00
loop_
_atom_site_label
_atom_site_type_symbol
_atom_site_fract_x
_atom_site_fract_y
_atom_site_fract_z
Ca1 Ca 0.0000 0.0000 0.0000
Y1 Y 0.3333 0.6667 0.6530
```

Computed properties:
Energy of formation from the pure elements in eV per atom: 0.075
ρ in g/cm³: 3.6
Total magnetic moment in μB per formula unit: 0.007
DOS(E_F) in states/eV per cell: 5.33

(3)
The following is a PBEsol calculation of SrWSe after structural relaxation, from Alexandria.

CIF file:
```
data_SrWSe
_chemical_formula_sum 'Sr4 W4 Se4'
_space_group_name_H-M_alt 'F -4 3 m'
_space_group_IT_number 216
_space_group_name_Hall 'F -4 2 3'
_cell_length_a 6.697
_cell_length_b 6.697
_cell_length_c 6.697
_cell_angle_alpha 90.00
_cell_angle_beta 90.00
_cell_angle_gamma 90.00
loop_
_atom_site_label
_atom_site_type_symbol
_atom_site_fract_x
_atom_site_fract_y
_atom_site_fract_z
Sr1 Sr 0.000 0.000 0.000
W1 W 0.250 0.250 0.750
Se1 Se 0.000 0.000 0.500
```

Computed properties:
E_tot in eV per atom: -5.29
ρ in g/cm³: 7.7
Total magnetic moment in μB per formula unit: 3.382
DOS(E_F) in states/eV per cell: 17.07

(4)
The following is a PBEsol calculation of Co2P2O7 after structural relaxation, from Alexandria.

CIF file:
```
data_Co2P2O7
_chemical_formula_sum 'Co4 P4 O14'
_space_group_name_H-M_alt 'C 1 2/m 1'
_space_group_IT_number 12
_space_group_name_Hall '-C 2y'
_cell_length_a 6.445
_cell_length_b 8.098
_cell_length_c 4.563
_cell_angle_alpha 90.00
_cell_angle_beta 102.56
_cell_angle_gamma 90.00
loop_
_atom_site_label
_atom_site_type_symbol
_atom_site_fract_x
_atom_site_fract_y
_atom_site_fract_z
Co1 Co 0.000 0.177 0.000
P1 P 0.218 0.500 0.401
O1 O 0.000 0.500 0.500
O2 O 0.121 0.000 0.296
O3 O 0.227 0.343 0.217
```

Computed properties:
E_tot in eV per atom: -7.41
ρ in g/cm³: 4.2
Total magnetic moment in μB per formula unit: 6.000
DOS(E_F) in states/eV per cell: 19.25

(5)
The following is a PBEsol calculation of ScMnAu4 after structural relaxation, from Alexandria.

CIF file:
```
data_ScMnAu4
_chemical_formula_sum 'Sc4 Mn4 Au16'
_space_group_name_H-M_alt 'F -4 3 m'
_space_group_IT_number 216
_space_group_name_Hall 'F -4 2 3'
_cell_length_a 7.592
_cell_length_b 7.592
_cell_length_c 7.592
_cell_angle_alpha 90.00
_cell_angle_beta 90.00
_cell_angle_gamma 90.00
loop_
_atom_site_label
_atom_site_type_symbol
_atom_site_fract_x
_atom_site_fract_y
_atom_site_fract_z
Sc1 Sc 0.000 0.000 0.000
Mn1 Mn 0.250 0.250 0.750
Au1 Au 0.125 0.125 0.375
```

Computed properties:
Energy of formation from the pure elements in eV per atom: -0.099
ρ in g/cm³: 13.5
Total magnetic moment in μB per formula unit: 4.713
DOS(E_F) in states/eV per cell: 17.42

(6)
The following is a PBEsol calculation of MgPtW2 after structural relaxation, from Alexandria.

CIF file:
```
data_MgPtW2
_chemical_formula_sum 'Mg1 Pt1 W2'
_space_group_name_H-M_alt 'P 4 m m'
_space_group_IT_number 99
_space_group_name_Hall 'P 4 -2'
_cell_length_a 3.229
_cell_length_b 3.229
_cell_length_c 6.101
_cell_angle_alpha 90.00
_cell_angle_beta 90.00
_cell_angle_gamma 90.00
loop_
_atom_site_label
_atom_site_type_symbol
_atom_site_fract_x
_atom_site_fract_y
_atom_site_fract_z
Mg1 Mg 0.000 0.000 0.000
Pt1 Pt 0.500 0.500 0.230
W1 W 0.000 0.000 0.508
W2 W 0.500 0.500 0.720
```

Computed properties:
Energy of formation from the pure elements in eV per atom: 0.076
ρ in g/cm³: 15.3
Total magnetic moment in μB per formula unit: 0.000
DOS(E_F) in states/eV per cell: 2.45